TbGd3P4O16 | meta-GGA SCAN | single point on PBEsol structure

Values from the calculation:
- ΔE_f (raw) (eV/atom) = -3.31
- space-group type = Cm
- DOS(E_F) (states/eV/atom) = 0.000

```
TbGd3P4O16
1.0
-4.9227 1.3085 -2.7225
-0.9711 -4.3242 -3.7035
-5.5334 -4.8512 5.5653
P Gd O Tb
4 3 16 1
direct
0.0620 0.0620 0.1865
0.9364 0.9364 0.8135
0.5630 0.5630 0.6885
0.4386 0.4386 0.3116
0.1875 0.1875 0.5625
0.3124 0.3124 0.9379
0.8127 0.8127 0.4371
0.0702 0.0702 0.3532
0.8165 0.4673 0.6087
0.3167 0.9660 0.1079
0.5715 0.5715 0.8551
0.6054 0.6054 0.3187
0.0305 0.6827 0.8933
0.8953 0.8953 0.1780
0.3964 0.3964 0.6803
0.5336 0.1848 0.3910
0.9660 0.3167 0.1079
0.1848 0.5336 0.3910
0.1031 0.1031 0.8212
0.6827 0.0305 0.8933
0.4673 0.8165 0.6087
0.4314 0.4314 0.1448
0.9287 0.9287 0.6468
0.6875 0.6875 0.0625
```